A plane-wave DFT calculation with PBE+U was carried out for a geometry-optimized MgCo2O4 structure.

ΔE to the lowest computed polymorph, meV per atom: 138

a = 2.9330 Å, b = 9.6266 Å, c = 9.3750 Å
α = 90.00°, β = 90.00°, γ = 90.00°
Closest atoms and distances in Å follow each position.
Space group Pbcm (No. 57)
One atom of each set of equivalent atoms:
Mg 0.2098 0.1452 0.2500 (multiplicity 4)  6 O 2.07-2.23
Co 0.2753 0.6141 0.5704 (multiplicity 8)  4 O 1.89-1.94
O 0.1470 0.2500 0.0000 (multiplicity 4)  2 Co 1.92
O 0.2879 0.7024 0.7500 (multiplicity 4)  2 Co 1.89, 2 Mg 2.07-2.08
O 0.2904 0.5315 0.1140 (multiplicity 8)  2 Co 1.90-1.94